Material: FeAsW2
Method: DFT, GGA-PBEsol
State: optimized geometry

For the final energy, the calculation gives -10.1228 eV/atom. For the calculated volume, the calculation gives 14.2 A^3/atom.

The space group is C2/m (No. 12) and the conventional cell measures 8.9435, 2.9616 and 4.3707 Å, with angles of 90.00, 101.82 and 90.00 degrees. The asymmetric unit holds Fe at (0.0000, 0.0000, 0.0000), As at (0.0000, 0.5000, 0.5000) and W at (0.2452, 0.5000, 0.2386).

---

Material: FeAsW
Method: DFT, GGA-PBEsol
State: optimized geometry

For the final energy, the calculation gives -8.7987 eV/atom. For the calculated volume, the calculation gives 16.2 A^3/atom.

The space group is F-43m (No. 216) and the conventional cell measures 5.7883, 5.7883 and 5.7883 Å, with angles of 90.00, 90.00 and 90.00 degrees. The asymmetric unit holds Fe at (0.0000, 0.0000, 0.0000), As at (0.0000, 0.0000, 0.5000) and W at (0.2500, 0.2500, 0.2500).

---

> Among the records above, which one has the lowest calculated volume?

FeAsW2